Record 1
The following is a DFT calculation (PBE) of a geometry-optimized TbPmSmTh2 structure.

Cell: 8.5562 8.5562 6.7076 Å, 90.00 90.00 133.87°
Closest atoms and distances in Å follow each position.
Atoms (fractional coordinates):
1 Tb 0.1514 0.8486 0.7500  1 Pm 3.10, 4 Th 3.36
2 Tb 0.8486 0.1514 0.2500  1 Pm 3.10, 4 Th 3.36
3 Pm 0.3483 0.6517 0.7500  1 Tb 3.10, 4 Th 3.37
4 Pm 0.6517 0.3483 0.2500  1 Tb 3.10, 4 Th 3.37
5 Sm 0.2442 0.7558 0.2500  4 Pm 3.65-3.73, 4 Tb 3.66-3.73
6 Sm 0.7558 0.2442 0.7500  4 Pm 3.65-3.73, 4 Tb 3.66-3.73
7 Th 0.2483 0.2483 0.0000  4 Th 3.33-3.38, 2 Tb 3.36, 2 Pm 3.37
8 Th 0.2483 0.2483 0.5000  4 Th 3.33-3.38, 2 Tb 3.36, 2 Pm 3.37
9 Th 0.7517 0.7517 0.0000  4 Th 3.33-3.38, 2 Tb 3.36, 2 Pm 3.37
10 Th 0.7517 0.7517 0.5000  4 Th 3.33-3.38, 2 Tb 3.36, 2 Pm 3.37

Values from the calculation:
V in Å³ per cell: 354.0
Final energy in eV per atom: -5.400
ΔE_f in eV/f.u.: 1.9



Record 2
The following is a DFT calculation (PBE) of a geometry-optimized NiAu2Cl structure.

Cell: 7.8199 7.8199 7.8199 Å, 24.51 24.51 24.51°
Closest atoms and distances in Å follow each position.
Atoms (fractional coordinates):
1 Ni 0.0000 0.0000 0.0000  6 Au 2.56
2 Au 0.2590 0.2590 0.2590  3 Ni 2.56, 3 Cl 2.84
3 Au 0.7410 0.7410 0.7410  3 Ni 2.56, 3 Cl 2.84
4 Cl 0.5000 0.5000 0.5000  6 Au 2.84

Values from the calculation:
Raw formation energy in eV per atom: 0.2299
V in Å³ per cell: 72.3
Energy relative to the lowest polymorph listed for this composition in meV per atom: 184.7
Final energy in eV per atom: -3.316



Record 3
The following is a DFT calculation (PBE) of a geometry-optimized CaMgCu2Sn2 structure.

Cell: 4.5011 4.5011 7.2413 Å, 90.00 90.00 120.00°
Closest atoms and distances in Å follow each position.
Atoms (fractional coordinates):
1 Ca 0.0000 0.0000 0.0000  6 Sn 3.25, 6 Cu 3.50, 2 Mg 3.62
2 Mg 0.0000 0.0000 0.5000  6 Cu 2.90, 6 Sn 3.09
3 Cu 0.3333 0.6667 0.6762  3 Sn 2.63, 3 Mg 2.90
4 Cu 0.6667 0.3333 0.3238  3 Sn 2.63, 3 Mg 2.90
5 Sn 0.3333 0.6667 0.2689  3 Cu 2.63
6 Sn 0.6667 0.3333 0.7311  3 Cu 2.63

Values from the calculation:
V in Å³ per cell: 127.1
Final energy in eV per atom: -3.590
ΔE_f in eV/f.u.: -1.7



Record 4
The following is a DFT calculation (PBE) of a geometry-optimized ReNi15Pt6 structure.

Cell: 5.0397 7.3381 8.5120 Å, 98.76 103.71 107.14°
Closest atoms and distances in Å follow each position.
Atoms (fractional coordinates):
1 Re 0.0000 0.0000 0.0000  5 Ni 2.46-2.56, 5 Pt 2.55-2.72
2 Ni 0.0566 0.3468 0.9642  4 Ni 2.41-2.62, 3 Pt 2.54-2.65, 1 Re 2.55
3 Ni 0.0713 0.6804 0.9823  3 Ni 2.41-2.52, 1 Re 2.46, 4 Pt 2.52-2.57
4 Ni 0.1178 0.0249 0.7291  5 Ni 2.42-2.65, 4 Pt 2.53-2.68, 1 Re 2.53
5 Ni 0.3111 0.3725 0.7435  7 Ni 2.40-2.66, 2 Pt 2.58-2.64
6 Ni 0.3373 0.1503 0.4956  9 Ni 2.41-2.65, 2 Pt 2.60-2.68
7 Ni 0.3494 0.8151 0.4606  7 Ni 2.43-2.65, 3 Pt 2.58-2.63
8 Ni 0.3573 0.4963 0.5024  8 Ni 2.40-2.66, 2 Pt 2.47-2.54
9 Ni 0.4061 0.5813 0.2343  7 Ni 2.41-2.63, 2 Pt 2.47-2.67
10 Ni 0.6218 0.3497 0.3524  7 Ni 2.41-2.67, 2 Pt 2.60-2.68
11 Ni 0.7386 0.7330 0.7433  5 Ni 2.40-2.47, 1 Re 2.48, 4 Pt 2.51-2.64
12 Ni 0.7887 0.4079 0.6836  9 Ni 2.46-2.75, 2 Pt 2.50-2.57
13 Ni 0.8257 0.7256 0.4771  9 Ni 2.40-2.65, 1 Pt 2.54
14 Ni 0.8469 0.1318 0.5000  7 Ni 2.44-2.65, 3 Pt 2.58-2.66
15 Ni 0.9165 0.5668 0.2225  7 Ni 2.37-2.63, 3 Pt 2.54-2.63
16 Ni 0.9485 0.9002 0.2701  5 Ni 2.37-2.64, 4 Pt 2.54-2.63, 1 Re 2.56
17 Pt 0.0156 0.2509 0.2477  8 Ni 2.47-2.68, 1 Re 2.55
18 Pt 0.2195 0.7040 0.7151  9 Ni 2.50-2.64, 1 Pt 2.72
19 Pt 0.4525 0.9646 0.2168  8 Ni 2.56-2.82, 1 Re 2.68
20 Pt 0.5128 0.2499 0.0165  6 Ni 2.56-2.78, 1 Re 2.65, 2 Pt 2.77-2.81
21 Pt 0.5725 0.6693 0.9970  7 Ni 2.47-2.62, 1 Re 2.72, 1 Pt 2.72
22 Pt 0.6420 0.0679 0.7492  8 Ni 2.53-2.64, 1 Re 2.66, 2 Pt 2.77-2.81

Values from the calculation:
V in Å³ per cell: 283.7
Final energy in eV per atom: -6.067
ΔE_f in eV/f.u.: 1.9



Record 5
The following is a DFT calculation (PBE) of a geometry-optimized K2LiAlH6 structure.

Cell: 4.7504 4.7504 5.4132 Å, 90.26 90.26 101.96°
Closest atoms and distances in Å follow each position.
Atoms (fractional coordinates):
1 K 0.2443 0.7557 0.0000  10 H 2.71-2.87, 2 K 2.99
2 K 0.7557 0.2443 0.0000  10 H 2.71-2.87, 2 K 2.99
3 Li 0.0000 0.0000 0.5000  6 H 1.97-2.11
4 Al 0.5000 0.5000 0.5000  6 H 1.73-1.82
5 H 0.2663 0.7337 0.5000  1 Al 1.73
6 H 0.2795 0.2795 0.2658  1 Al 1.82
7 H 0.2813 0.2813 0.7327  1 Al 1.82
8 H 0.7187 0.7187 0.2673  1 Al 1.82
9 H 0.7205 0.7205 0.7342  1 Al 1.82
10 H 0.7337 0.2663 0.5000  1 Al 1.73

Values from the calculation:
V in Å³ per cell: 119.5
Final energy in eV per atom: -2.994



Record 6
The following is a DFT calculation (PBE) of a geometry-optimized CaCd2Pb2 structure.

Cell: 8.5965 8.5965 3.8828 Å, 90.00 90.00 90.00°
Closest atoms and distances in Å follow each position.
Atoms (fractional coordinates):
1 Ca 0.0000 0.0000 0.0000  4 Cd 3.43, 8 Pb 3.70
2 Ca 0.5000 0.5000 0.0000  4 Cd 3.43, 8 Pb 3.70
3 Cd 0.1200 0.3800 0.0000  1 Cd 2.92, 2 Pb 3.10
4 Cd 0.3800 0.8800 0.0000  1 Cd 2.92, 2 Pb 3.10
5 Cd 0.6200 0.1200 0.0000  1 Cd 2.92, 2 Pb 3.10
6 Cd 0.8800 0.6200 0.0000  1 Cd 2.92, 2 Pb 3.10
7 Pb 0.1809 0.6809 0.5000  6 Cd 3.10-3.28
8 Pb 0.3191 0.1809 0.5000  6 Cd 3.10-3.28
9 Pb 0.6809 0.8191 0.5000  6 Cd 3.10-3.28
10 Pb 0.8191 0.3191 0.5000  6 Cd 3.10-3.28

Values from the calculation:
V in Å³ per cell: 286.9
Final energy in eV per atom: -2.396
ΔE_f in eV/f.u.: -0.7



Record 7
The following is a DFT calculation (PBE) of a geometry-optimized NbBi2Pd structure.

Cell: 10.3775 10.3775 10.3775 Å, 18.22 18.22 18.22°
Closest atoms and distances in Å follow each position.
Atoms (fractional coordinates):
1 Nb 0.0000 0.0000 0.0000  2 Bi 2.91
2 Bi 0.0950 0.0950 0.0950  3 Pd 2.90, 1 Nb 2.91
3 Bi 0.9050 0.9050 0.9050  3 Pd 2.90, 1 Nb 2.91
4 Pd 0.5000 0.5000 0.5000  6 Bi 2.90

Values from the calculation:
V in Å³ per cell: 95.4
Final energy in eV per atom: -5.319
ΔE_f in eV/f.u.: 1.7



Record 8
The following is a DFT calculation (PBE) of a geometry-optimized LiReMoRu2 structure.

Cell: 4.6871 4.6871 4.7465 Å, 90.00 90.00 90.00°
Closest atoms and distances in Å follow each position.
Atoms (fractional coordinates):
1 Li 0.0000 0.0000 0.0000  4 Re 3.31, 8 Ru 3.34
2 Re 0.5000 0.5000 0.0000  2 Mo 2.37
3 Mo 0.5000 0.5000 0.5000  4 Ru 2.34, 2 Re 2.37
4 Ru 0.0000 0.5000 0.5000  2 Mo 2.34
5 Ru 0.5000 0.0000 0.5000  2 Mo 2.34

Values from the calculation:
V in Å³ per cell: 104.3
Final energy in eV per atom: -7.108
ΔE_f in eV/f.u.: 8.2